Record 1
Hf2TlRe | PBE | relaxed

abc: 3.0306 3.0306 31.6600
angles: 90.00 90.00 120.00
Last column: nearest neighbours and their distance in Å.
Space group R-3m (No. 166, hexagonal axes)
Inequivalent atoms, fractional coordinates:
Hf: 0.0000 0.0000 0.0814 [6 per cell]  1 Re 2.58
Tl: 0.0000 0.0000 0.5000 [3 per cell]  6 Tl 3.03, 6 Hf 3.22
Re: 0.0000 0.0000 0.0000 [3 per cell]  2 Hf 2.58

Summary:
Size of the total moment (μB/atom): 0.000
Calculated density (Mg/m³): 14.79
DFT formation energy (eV/f.u.): 2.24
E above lowest polymorph (eV per atom): 0.738

Record 2
Hf2TlRe | PBE | relaxed

abc: 7.8053 7.8053 5.7814
angles: 90.00 90.00 90.00
Last column: nearest neighbours and their distance in Å.
Space group I-42d (No. 122)
Inequivalent atoms, fractional coordinates:
Hf: 0.2027 0.2500 0.1250 [8 per cell]  2 Re 2.61
Tl: 0.0000 0.0000 0.5000 [4 per cell]  2 Re 2.89, 4 Hf 3.12
Re: 0.0000 0.0000 0.0000 [4 per cell]  4 Hf 2.61, 2 Tl 2.89

Summary:
Size of the total moment (μB/atom): 0.000
Calculated density (Mg/m³): 14.10
DFT formation energy (eV/f.u.): 2.12
E above lowest polymorph (eV per atom): 0.706

Record 3
Hf2TlRe | PBE | relaxed

abc: 4.7398 4.7398 3.4976
angles: 90.00 90.00 90.00
Last column: nearest neighbours and their distance in Å.
Space group P4/mmm (No. 123)
Inequivalent atoms, fractional coordinates:
Hf: 0.0000 0.5000 0.0000 [2 per cell]  4 Tl 2.95, 4 Re 2.95
Tl: 0.0000 0.0000 0.5000 [1 per cell]  8 Hf 2.95
Re: 0.5000 0.5000 0.5000 [1 per cell]  8 Hf 2.95

Summary:
Size of the total moment (μB/atom): 0.000
Calculated density (Mg/m³): 15.80
DFT formation energy (eV/f.u.): -0.01
E above lowest polymorph (eV per atom): 0.175

Record 4
HfTlRe3 | PBE | relaxed

abc: 4.8614 4.8614 4.8614
angles: 90.00 90.00 90.00
Last column: nearest neighbours and their distance in Å.
Space group Pm-3m (No. 221)
Inequivalent atoms, fractional coordinates:
Hf: 0.0000 0.0000 0.0000 [1 per cell]  12 Re 3.44
Tl: 0.5000 0.5000 0.5000 [1 per cell]  6 Re 2.43
Re: 0.0000 0.5000 0.5000 [3 per cell]  2 Tl 2.43

Summary:
Size of the total moment (μB/atom): 0.294
Calculated density (Mg/m³): 13.61
DFT formation energy (eV/f.u.): 14.09
E above lowest polymorph (eV per atom): 0.378

Record 5
Hf2TlRe | PBE | relaxed

abc: 6.8112 6.8112 6.8112
angles: 90.00 90.00 90.00
Last column: nearest neighbours and their distance in Å.
Space group Fm-3m (No. 225)
Inequivalent atoms, fractional coordinates:
Hf: 0.2500 0.2500 0.2500 [8 per cell]  4 Tl 2.95, 4 Re 2.95
Tl: 0.0000 0.0000 0.0000 [4 per cell]  8 Hf 2.95
Re: 0.0000 0.0000 0.5000 [4 per cell]  8 Hf 2.95

Summary:
Size of the total moment (μB/atom): 0.000
Calculated density (Mg/m³): 15.71
DFT formation energy (eV/f.u.): 0.23
E above lowest polymorph (eV per atom): 0.235

Record 6
TmHfRe | PBE | relaxed

abc: 5.2326 10.0669 19.9852
angles: 90.00 90.00 90.00
Last column: nearest neighbours and their distance in Å.
Space group Fddd (No. 70, origin choice 2)
Inequivalent atoms, fractional coordinates:
Tm: 0.1250 0.2832 0.1250 [16 per cell]  4 Re 2.96-2.97, 3 Tm 3.19-3.20
Hf: 0.1250 0.1250 0.5378 [16 per cell]  4 Re 2.72-2.94
Re: 0.1250 0.1250 0.0003 [16 per cell]  4 Hf 2.72-2.94, 2 Re 2.84, 4 Tm 2.96-2.97

Summary:
Size of the total moment (μB/atom): 0.000
Calculated density (Mg/m³): 13.47
DFT formation energy (eV/f.u.): -0.16
E above lowest polymorph (eV per atom): 0.028

Record 7
TmHf2Re9 | PBE | relaxed

abc: 5.2633 5.2633 26.2679
angles: 90.00 90.00 120.00
Last column: nearest neighbours and their distance in Å.
Space group R-3m (No. 166, hexagonal axes)
Inequivalent atoms, fractional coordinates:
Tm: 0.0000 0.0000 0.0000 [3 per cell]  6 Re 3.04
Hf: 0.0000 0.0000 0.1431 [6 per cell]  12 Re 3.03-3.12, 3 Hf 3.28
Re: 0.0000 0.0000 0.3357 [6 per cell]  6 Re 2.69-2.75
Re: 0.0000 0.0000 0.5000 [3 per cell]  6 Re 2.64
Re: 0.0084 0.5042 0.9143 [18 per cell]  7 Re 2.57-2.75

Summary:
Size of the total moment (μB/atom): 0.000
Calculated density (Mg/m³): 17.40
DFT formation energy (eV/f.u.): -2.10

Record 8
TmHfRe | PBE | relaxed

abc: 3.3606 3.3606 11.7496
angles: 90.00 90.00 90.00
Last column: nearest neighbours and their distance in Å.
Space group I4mm (No. 107)
Inequivalent atoms, fractional coordinates:
Tm: 0.0000 0.0000 0.0000 [2 per cell]  4 Re 2.97, 1 Hf 3.16
Hf: 0.0000 0.0000 0.2688 [2 per cell]  4 Re 2.74
Re: 0.0000 0.0000 0.6521 [2 per cell]  4 Hf 2.74, 4 Tm 2.97

Summary:
Size of the total moment (μB/atom): 0.000
Calculated density (Mg/m³): 13.36
DFT formation energy (eV/f.u.): -0.25
E above lowest polymorph (eV per atom): 0.000

Record 9
Hf2URe | PBE | relaxed

abc: 3.2190 3.2190 7.9073
angles: 90.00 90.00 90.00
Last column: nearest neighbours and their distance in Å.
Space group P4/mmm (No. 123)
Inequivalent atoms, fractional coordinates:
Hf: 0.0000 0.0000 0.2057 [2 per cell]  4 Re 2.80
U: 0.5000 0.5000 0.5000 [1 per cell]  4 U 3.22, 8 Hf 3.26
Re: 0.5000 0.5000 0.0000 [1 per cell]  8 Hf 2.80

Summary:
Size of the total moment (μB/atom): 0.540
Calculated density (Mg/m³): 15.83
DFT formation energy (eV/f.u.): 0.08

Record 10
HfURe4 | PBE | relaxed

abc: 7.5623 7.5623 7.5623
angles: 90.00 90.00 90.00
Last column: nearest neighbours and their distance in Å.
Space group F-43m (No. 216)
Inequivalent atoms, fractional coordinates:
Hf: 0.0000 0.0000 0.0000 [4 per cell]  12 Re 3.13, 4 U 3.27
U: 0.2500 0.2500 0.2500 [4 per cell]  12 Re 3.14, 4 Hf 3.27
Re: 0.1256 0.1256 0.6256 [16 per cell]  6 Re 2.66-2.69

Summary:
Size of the total moment (μB/atom): 0.163
Calculated density (Mg/m³): 17.84
DFT formation energy (eV/f.u.): -0.41

Record 11
HfURe | PBE | relaxed

abc: 3.1063 3.1063 7.1000
angles: 90.00 90.00 120.00
Last column: nearest neighbours and their distance in Å.
Space group P3m1 (No. 156)
Inequivalent atoms, fractional coordinates:
Hf: 0.0000 0.0000 0.0000 [1 per cell]  3 Re 2.79, 6 Hf 3.11
U: 0.3333 0.6667 0.6164 [1 per cell]  3 Re 2.87, 6 U 3.11
Re: 0.6667 0.3333 0.3012 [1 per cell]  3 Hf 2.79, 3 U 2.87, 6 Re 3.11

Summary:
Size of the total moment (μB/atom): 0.310
Calculated density (Mg/m³): 16.87
DFT formation energy (eV/f.u.): 0.90
E above lowest polymorph (eV per atom): 0.191

Record 12
HfURe | PBE | relaxed

abc: 3.4142 3.4142 10.2114
angles: 90.00 90.00 90.00
Last column: nearest neighbours and their distance in Å.
Space group I4mm (No. 107)
Inequivalent atoms, fractional coordinates:
Hf: 0.0000 0.0000 0.0000 [2 per cell]  4 Re 2.99, 5 U 3.12-3.13
U: 0.0000 0.0000 0.3063 [2 per cell]  4 Re 2.78
Re: 0.0000 0.0000 0.6721 [2 per cell]  4 U 2.78, 4 Hf 2.99

Summary:
Size of the total moment (μB/atom): 0.028
Calculated density (Mg/m³): 16.82
DFT formation energy (eV/f.u.): 0.33
E above lowest polymorph (eV per atom): 0.000